# KTl2Pd | Alexandria | GGA-PBE | relaxed
data_KTl2Pd
_space_group_name_H-M_alt 'P n m a'
_space_group_IT_number 62
_cell_length_a 17.183
_cell_length_b 8.167
_cell_length_c 6.385
_cell_angle_alpha 90.00
_cell_angle_beta 90.00
_cell_angle_gamma 90.00
loop_
_space_group_symop_operation_xyz
'x,y,z'
'-x,-y,-z'
'-x+1/2,-y,z+1/2'
'x+1/2,y,-z+1/2'
'x+1/2,-y+1/2,-z+1/2'
'-x+1/2,y+1/2,z+1/2'
'-x,y+1/2,-z'
'x,-y+1/2,z'
loop_
_atom_site_label
_atom_site_type_symbol
_atom_site_fract_x
_atom_site_fract_y
_atom_site_fract_z
K1 K 0.104 0.250 0.225
K2 K 0.135 0.750 0.029
Tl1 Tl 0.042 0.055 0.729
Tl2 Tl 0.213 0.549 0.523
Pd1 Pd 0.072 0.750 0.513
Pd2 Pd 0.187 0.250 0.757
# Final energy   -2.92 eV per atom


# K3TlPd | Alexandria | GGA-PBE | relaxed
data_K3TlPd
_space_group_name_H-M_alt 'P m -3 m'
_space_group_IT_number 221
_space_group_name_Hall '-P 4 2 3'
_cell_length_a 6.166
_cell_length_b 6.166
_cell_length_c 6.166
_cell_angle_alpha 90.00
_cell_angle_beta 90.00
_cell_angle_gamma 90.00
loop_
_atom_site_label
_atom_site_type_symbol
_atom_site_fract_x
_atom_site_fract_y
_atom_site_fract_z
K1 K 0.000 0.000 0.500
Tl1 Tl 0.500 0.500 0.500
Pd1 Pd 0.000 0.000 0.000
# ΔE to the lowest computed polymorph   216 meV per atom


# KTlPd2 | Alexandria | GGA-PBE | relaxed
data_KTlPd2
_space_group_name_H-M_alt 'P m m n'
_space_group_IT_number 59
_cell_length_a 4.682
_cell_length_b 7.738
_cell_length_c 6.199
_cell_angle_alpha 90.00
_cell_angle_beta 90.00
_cell_angle_gamma 90.00
loop_
_space_group_symop_operation_xyz
'x,y,z'
'-x,-y,-z'
'-x+1/2,-y+1/2,z'
'x+1/2,y+1/2,-z'
'x+1/2,-y,-z'
'-x+1/2,y,z'
'-x,y+1/2,-z'
'x,-y+1/2,z'
loop_
_atom_site_label
_atom_site_type_symbol
_atom_site_fract_x
_atom_site_fract_y
_atom_site_fract_z
K1 K 0.250 0.250 0.114
Tl1 Tl 0.250 0.750 0.373
Pd1 Pd 0.250 0.066 0.590
# Final energy   -3.61 eV per atom


# KTlPd | Alexandria | GGA-PBE | relaxed
data_KTlPd
_space_group_name_H-M_alt 'I m m a'
_space_group_IT_number 74
_space_group_name_Hall '-I 2b 2'
_cell_length_a 6.005
_cell_length_b 6.312
_cell_length_c 8.226
_cell_angle_alpha 90.00
_cell_angle_beta 90.00
_cell_angle_gamma 90.00
loop_
_atom_site_label
_atom_site_type_symbol
_atom_site_fract_x
_atom_site_fract_y
_atom_site_fract_z
K1 K 0.000 0.250 0.114
Tl1 Tl 0.000 0.000 0.500
Pd1 Pd 0.250 0.250 0.750
# Final energy   -2.98 eV per atom


| no. | D(E_F) (states/eV/f.u.) | spin magnetization (μB/atom) |
| --- | --- | --- |
| 1 | 2.233 | 0.00 |
| 2 | 5.170 | 0.00 |
| 3 | 0.997 | 0.00 |
| 4 | 1.449 | 0.00 |